Entry w
A plane-wave DFT calculation with GGA-PBE was carried out for crystalline Tb2Ho3Zn2 at its relaxed geometry.

Computed properties:
Crystal system: monoclinic

a b c (Å): 11.265 4.677 8.069
angles (deg): 90.00 116.04 90.00
Space group C2/m (No. 12)
Symmetry-distinct sites (fractional):
1 Tb 0.136 0.000 0.290 [4 per cell]
2 Ho 0.000 0.500 0.500 [2 per cell]
3 Ho 0.133 0.500 0.960 [4 per cell]
4 Zn 0.149 0.000 0.688 [4 per cell]

Entry x
A plane-wave DFT calculation with GGA-PBE was carried out for crystalline Tb2Ho3Zn2 at its relaxed geometry.

Computed properties:
Crystal system: orthorhombic

a b c (Å): 3.516 30.520 3.505
angles (deg): 90.00 90.00 90.00
Space group Cmmm (No. 65)
Symmetry-distinct sites (fractional):
1 Tb 0.000 0.201 0.000 [4 per cell]
2 Ho 0.000 0.383 0.500 [4 per cell]
3 Ho 0.000 0.500 0.500 [2 per cell]
4 Zn 0.000 0.058 0.000 [4 per cell]

Taking the most stable structure as the zero point, the relative energies in meV/atom are entry w 41; entry x 0.

Entry w
A plane-wave DFT calculation with GGA-PBE was carried out for crystalline Tb4HoZn at its relaxed geometry.

Computed properties:
Crystal system: monoclinic

a b c (Å): 8.793 13.533 6.233
angles (deg): 90.00 108.67 90.00
Space group C2/c (No. 15)
Symmetry-distinct sites (fractional):
1 Tb 0.103 0.183 0.049 [8 per cell]
2 Tb 0.223 0.387 0.376 [8 per cell]
3 Ho 0.000 0.405 0.750 [4 per cell]
4 Zn 0.000 0.000 0.250 [4 per cell]

Entry x
A plane-wave DFT calculation with GGA-PBE was carried out for crystalline Tb4HoZn at its relaxed geometry.

Computed properties:
Crystal system: tetragonal

a b c (Å): 3.560 3.560 13.682
angles (deg): 90.00 90.00 90.00
Space group P4/mmm (No. 123)
Symmetry-distinct sites (fractional):
1 Tb 0.000 0.000 0.131 [2 per cell]
2 Tb 0.500 0.500 0.318 [2 per cell]
3 Ho 0.000 0.000 0.500 [1 per cell]
4 Zn 0.500 0.500 0.000 [1 per cell]

Taking the most stable structure as the zero point, the relative energies in meV/atom are entry w 103; entry x 0.

Entry w
A plane-wave DFT calculation with GGA-PBE was carried out for crystalline Tb3Ho2Zn2 at its relaxed geometry.

Computed properties:
Crystal system: orthorhombic

a b c (Å): 3.546 30.401 3.525
angles (deg): 90.00 90.00 90.00
Space group Cmmm (No. 65)
Symmetry-distinct sites (fractional):
1 Tb 0.000 0.000 0.000 [2 per cell]
2 Tb 0.000 0.119 0.000 [4 per cell]
3 Ho 0.000 0.299 0.500 [4 per cell]
4 Zn 0.000 0.441 0.500 [4 per cell]

Entry x
A plane-wave DFT calculation with GGA-PBE was carried out for crystalline Tb3Ho2Zn2 at its relaxed geometry.

Computed properties:
Crystal system: monoclinic

a b c (Å): 12.865 3.673 9.023
angles (deg): 90.00 115.74 90.00
Space group C2/m (No. 12)
Symmetry-distinct sites (fractional):
1 Tb 0.000 0.000 0.000 [2 per cell]
2 Tb 0.110 0.000 0.441 [4 per cell]
3 Ho 0.149 0.500 0.812 [4 per cell]
4 Zn 0.180 0.500 0.224 [4 per cell]

Taking the most stable structure as the zero point, the relative energies in meV/atom are entry w 36; entry x 0.

Entry w
A plane-wave DFT calculation with GGA-PBE was carried out for crystalline TbHo6Zn2 at its relaxed geometry.

Computed properties:
Crystal system: tetragonal

a b c (Å): 4.786 4.786 24.959
angles (deg): 90.00 90.00 90.00
Space group I4/mmm (No. 139)
Symmetry-distinct sites (fractional):
1 Tb 0.000 0.000 0.000 [2 per cell]
2 Ho 0.000 0.500 0.108 [8 per cell]
3 Ho 0.000 0.500 0.250 [4 per cell]
4 Zn 0.000 0.000 0.322 [4 per cell]

Entry x
A plane-wave DFT calculation with GGA-PBE was carried out for crystalline TbHo6Zn2 at its relaxed geometry.

Computed properties:
Crystal system: monoclinic

a b c (Å): 12.386 3.603 11.688
angles (deg): 90.00 109.21 90.00
Space group C2/m (No. 12)
Symmetry-distinct sites (fractional):
1 Tb 0.000 0.000 0.000 [2 per cell]
2 Ho 0.023 0.000 0.330 [4 per cell]
3 Ho 0.186 0.500 0.588 [4 per cell]
4 Ho 0.190 0.500 0.875 [4 per cell]
5 Zn 0.149 0.500 0.206 [4 per cell]

Taking the most stable structure as the zero point, the relative energies in meV/atom are entry w 406; entry x 0.

Entry w
A plane-wave DFT calculation with GGA-PBE was carried out for crystalline Tb3HoZn2 at its relaxed geometry.

Computed properties:
Crystal system: orthorhombic

a b c (Å): 5.044 9.103 6.738
angles (deg): 90.00 90.00 90.00
Space group Pmc2_1 (No. 26)
Symmetry-distinct sites (fractional):
1 Tb 0.000 0.056 0.000 [2 per cell]
2 Tb 0.000 0.328 0.345 [2 per cell]
3 Tb 0.500 0.175 0.682 [2 per cell]
4 Ho 0.500 0.444 0.029 [2 per cell]
5 Zn 0.000 0.350 0.789 [2 per cell]
6 Zn 0.500 0.151 0.239 [2 per cell]

Entry x
A plane-wave DFT calculation with GGA-PBE was carried out for crystalline Tb3HoZn2 at its relaxed geometry.

Computed properties:
Crystal system: tetragonal

a b c (Å): 3.579 3.579 12.136
angles (deg): 90.00 90.00 90.00
Space group P4/mmm (No. 123)
Symmetry-distinct sites (fractional):
1 Tb 0.000 0.000 0.000 [1 per cell]
2 Tb 0.000 0.000 0.292 [2 per cell]
3 Ho 0.500 0.500 0.500 [1 per cell]
4 Zn 0.500 0.500 0.146 [2 per cell]

Taking the most stable structure as the zero point, the relative energies in meV/atom are entry w 0; entry x 7.

Entry w
A plane-wave DFT calculation with GGA-PBE was carried out for crystalline Tb2Ho2Zn at its relaxed geometry.

Computed properties:
Crystal system: tetragonal

a b c (Å): 3.545 3.545 22.284
angles (deg): 90.00 90.00 90.00
Space group I4/mmm (No. 139)
Symmetry-distinct sites (fractional):
1 Tb 0.000 0.000 0.194 [4 per cell]
2 Ho 0.000 0.000 0.421 [4 per cell]
3 Zn 0.000 0.000 0.000 [2 per cell]

Entry x
A plane-wave DFT calculation with GGA-PBE was carried out for crystalline Tb2Ho2Zn at its relaxed geometry.

Computed properties:
Crystal system: tetragonal

a b c (Å): 4.944 4.944 24.340
angles (deg): 90.00 90.00 90.00
Space group I4_1/amd (No. 141, origin choice 2)
Symmetry-distinct sites (fractional):
1 Tb 0.000 0.250 0.057 [8 per cell]
2 Ho 0.000 0.250 0.200 [8 per cell]
3 Zn 0.000 0.250 0.375 [4 per cell]

Taking the most stable structure as the zero point, the relative energies in meV/atom are entry w 0; entry x 137.

Entry w
A plane-wave DFT calculation with GGA-PBE was carried out for crystalline Tb2HoZr at its relaxed geometry.

Computed properties:
Crystal system: tetragonal

a b c (Å): 4.872 4.872 4.855
angles (deg): 90.00 90.00 90.00
Space group P4/mmm (No. 123)
Symmetry-distinct sites (fractional):
1 Tb 0.000 0.500 0.000 [2 per cell]
2 Ho 0.000 0.000 0.500 [1 per cell]
3 Zr 0.500 0.500 0.500 [1 per cell]

Entry x
A plane-wave DFT calculation with GGA-PBE was carried out for crystalline Tb2HoZr at its relaxed geometry.

Computed properties:
Crystal system: cubic

a b c (Å): 7.780 7.780 7.780
angles (deg): 90.00 90.00 90.00
Space group Fm-3m (No. 225)
Symmetry-distinct sites (fractional):
1 Tb 0.250 0.250 0.250 [8 per cell]
2 Ho 0.000 0.000 0.000 [4 per cell]
3 Zr 0.000 0.000 0.500 [4 per cell]

Taking the most stable structure as the zero point, the relative energies in meV/atom are entry w 0; entry x 120.

Entry w
A plane-wave DFT calculation with GGA-PBE was carried out for crystalline Tb2HoZr at its relaxed geometry.

Computed properties:
Crystal system: trigonal

a b c (Å): 3.4418 3.4418 33.8862
angles (deg): 90.00 90.00 120.00
Space group R-3m (No. 166, hexagonal axes)
Symmetry-distinct sites (fractional):
1 Tb 0.0000 0.0000 0.2454 [6 per cell]
2 Ho 0.0000 0.0000 0.0000 [3 per cell]
3 Zr 0.0000 0.0000 0.5000 [3 per cell]

Entry x
A plane-wave DFT calculation with GGA-PBE was carried out for crystalline Tb2HoZr at its relaxed geometry.

Computed properties:
Crystal system: tetragonal

a b c (Å): 4.022 4.022 7.199
angles (deg): 90.00 90.00 90.00
Space group P4/mmm (No. 123)
Symmetry-distinct sites (fractional):
1 Tb 0.000 0.000 0.226 [2 per cell]
2 Ho 0.500 0.500 0.500 [1 per cell]
3 Zr 0.500 0.500 0.000 [1 per cell]

Entry y
A plane-wave DFT calculation with GGA-PBE was carried out for crystalline Tb2HoZr at its relaxed geometry.

Computed properties:
Crystal system: trigonal

a b c (Å): 3.4629 3.4629 33.5653
angles (deg): 90.00 90.00 120.00
Space group R3m (No. 160, hexagonal axes)
Symmetry-distinct sites (fractional):
1 Tb 0.0000 0.0000 0.0000 [3 per cell]
2 Tb 0.0000 0.0000 0.1754 [3 per cell]
3 Ho 0.0000 0.0000 0.7543 [3 per cell]
4 Zr 0.0000 0.0000 0.5876 [3 per cell]

Taking the most stable structure as the zero point, the relative energies in meV/atom are entry w 5; entry x 88; entry y 0.